Entry from Alexandria via LeMat-Bulk: a geometry-optimized Na2Mg2Zn structure (PBE).

a = 7.3784 Å, b = 7.3784 Å, c = 4.9802 Å
α = 90.00°, β = 90.00°, γ = 90.00°
Fractional coordinates of all 10 atoms:
Na: 0.3583 0.8583 0.0000
Na: 0.8583 0.6417 0.0000
Na: 0.6417 0.1417 0.0000
Na: 0.1417 0.3583 0.0000
Zn: 0.0000 0.0000 0.0000
Zn: 0.5000 0.5000 0.0000
Mg: 0.1677 0.6677 0.5000
Mg: 0.6677 0.8323 0.5000
Mg: 0.8323 0.3323 0.5000
Mg: 0.3323 0.1677 0.5000

Computed properties:
total energy: -1.139 eV per atom
magnetic moment: 0.0000 μB per atom